Entry 1:
First-principles (GGA-PBE) data for a relaxed structure of PmNdDy2Sb4, as listed in the Alexandria database.

a = 4.450 Å, b = 7.698 Å, c = 7.704 Å
α = 70.51°, β = 90.00°, γ = 90.00°
Fractional coordinates of all 8 atoms:
Sb  0.500  0.758  0.248
Sb  0.000  0.242  0.254
Dy  0.500  0.000  0.500
Sb  0.000  0.758  0.746
Dy  0.000  0.000  0.000
Sb  0.500  0.242  0.752
Nd  0.500  0.500  0.000
Pm  0.000  0.500  0.500

Output
Density ... 7.35 g/cm³
Symmetry ... No. 10
Total DFT energy (no corrections) ... -5.559 eV per atom
Formation energy without anion corrections ... -1158 meV/atom
Spin magnetization ... 0.0 μB/cell
D(E_F) ... 1.1 states/eV/cell



Entry 2:
First-principles (GGA-PBE) data for a relaxed structure of Pm3Nd2DySb6, as listed in the Alexandria database.

a = 4.488 Å, b = 8.968 Å, c = 10.028 Å
α = 102.92°, β = 102.93°, γ = 90.00°
Fractional coordinates of all 12 atoms:
Dy  0.500  0.000  0.000
Sb  0.334  0.416  0.667
Sb  0.999  0.245  0.998
Sb  0.665  0.081  0.329
Nd  0.166  0.332  0.332
Sb  0.666  0.584  0.333
Pm  0.500  0.500  0.000
Sb  0.335  0.919  0.671
Sb  0.001  0.755  0.002
Pm  0.168  0.834  0.335
Nd  0.834  0.668  0.668
Pm  0.832  0.166  0.665

Output
Density ... 7.01 g/cm³
Symmetry ... No. 12
Total DFT energy (no corrections) ... -5.603 eV per atom
Formation energy without anion corrections ... -1176 meV/atom
Spin magnetization ... 0.0 μB/cell
D(E_F) ... 1.9 states/eV/cell



Entry 3:
First-principles (GGA-PBE) data for a relaxed structure of PmNd2Dy3Sb6, as listed in the Alexandria database.

a = 4.451 Å, b = 8.894 Å, c = 9.945 Å
α = 102.83°, β = 102.93°, γ = 90.00°
Fractional coordinates of all 12 atoms:
Dy  0.500  0.500  0.000
Sb  0.335  0.412  0.671
Sb  0.665  0.588  0.329
Dy  0.833  0.167  0.666
Sb  0.668  0.078  0.336
Pm  0.500  0.000  0.000
Nd  0.166  0.333  0.333
Sb  0.332  0.922  0.664
Sb  0.998  0.254  0.996
Dy  0.167  0.833  0.334
Sb  0.002  0.746  0.004
Nd  0.834  0.667  0.667

Output
Density ... 7.34 g/cm³
Symmetry ... No. 12
Total DFT energy (no corrections) ... -5.560 eV per atom
Formation energy without anion corrections ... -1158 meV/atom
Spin magnetization ... 0.0 μB/cell
D(E_F) ... 1.9 states/eV/cell



Entry 4:
First-principles (GGA-PBE) data for a relaxed structure of Pm2NdDySb4, as listed in the Alexandria database.

a = 4.477 Å, b = 7.749 Å, c = 7.748 Å
α = 70.52°, β = 90.00°, γ = 90.00°
Fractional coordinates of all 8 atoms:
Sb  0.000  0.251  0.254
Sb  0.500  0.746  0.255
Pm  0.000  0.000  0.000
Nd  0.500  0.500  0.000
Dy  0.000  0.500  0.500
Pm  0.500  0.000  0.500
Sb  0.000  0.749  0.746
Sb  0.500  0.254  0.745

Output
Density ... 7.10 g/cm³
Symmetry ... No. 10
Total DFT energy (no corrections) ... -5.590 eV per atom
Formation energy without anion corrections ... -1170 meV/atom
Spin magnetization ... 0.0 μB/cell
D(E_F) ... 1.0 states/eV/cell



Entry 5:
First-principles (GGA-PBE) data for a relaxed structure of Pm4NdDy2Sc, as listed in the Alexandria database.

a = 5.070 Å, b = 11.291 Å, c = 5.061 Å
α = 63.36°, β = 90.00°, γ = 90.00°
Fractional coordinates of all 8 atoms:
Pm  0.000  0.253  0.248
Dy  0.500  0.000  0.500
Dy  0.000  0.000  0.000
Nd  0.500  0.500  0.000
Pm  0.500  0.252  0.748
Sc  0.000  0.500  0.500
Pm  0.000  0.747  0.752
Pm  0.500  0.748  0.252

Output
Density ... 7.02 g/cm³
Symmetry ... No. 123
Total DFT energy (no corrections) ... -4.888 eV per atom
Spin magnetization ... 0.0 μB/cell
D(E_F) ... 11.2 states/eV/cell
Formation energy ... 0.03 eV/atom



Entry 6:
First-principles (GGA-PBE) data for a relaxed structure of Pm5NdDy2Sc, as listed in the Alexandria database.

a = 5.638 Å, b = 10.521 Å, c = 10.488 Å
α = 90.00°, β = 90.00°, γ = 105.54°
Fractional coordinates of all 18 atoms:
Pm  0.984  0.967  0.515
Pm  0.484  0.969  0.743
Pm  0.703  0.405  0.207
Pm  0.016  0.033  0.015
Sc  0.195  0.390  0.014
Pm  0.625  0.250  0.519
Pm  0.516  0.031  0.243
Nd  0.592  0.183  0.959
Pm  0.276  0.552  0.321
Dy  0.113  0.226  0.310
Sc  0.805  0.610  0.514
Dy  0.887  0.774  0.810
Dy  0.884  0.768  0.236
Pm  0.724  0.448  0.821
Nd  0.408  0.817  0.459
Dy  0.116  0.232  0.736
Pm  0.297  0.595  0.707
Pm  0.375  0.750  0.019

Output
Density ... 6.87 g/cm³
Symmetry ... No. 36
Total DFT energy (no corrections) ... -4.734 eV per atom
Spin magnetization ... 0.0 μB/cell
D(E_F) ... 28.5 states/eV/cell
Formation energy ... 0.16 eV/atom



Entry 7:
First-principles (GGA-PBE) data for a relaxed structure of PmNdDySc, as listed in the Alexandria database.

a = 3.446 Å, b = 6.079 Å, c = 7.036 Å
α = 115.59°, β = 104.18°, γ = 90.00°
Fractional coordinates of all 4 atoms:
Dy  0.285  0.785  0.570
Nd  0.550  0.550  0.100
Sc  0.007  0.007  0.014
Pm  0.273  0.273  0.546

Output
Density ... 6.45 g/cm³
Energy above the most stable polymorph in this dataset ... 243 meV per atom
Symmetry ... No. 44
Total DFT energy (no corrections) ... -4.722 eV per atom
Spin magnetization ... 0.3 μB/cell
D(E_F) ... 7.3 states/eV/cell
Formation energy ... 0.39 eV/atom



Entry 8:
First-principles (GGA-PBE) data for a relaxed structure of PmNd2Dy5Sc, as listed in the Alexandria database.

a = 5.603 Å, b = 10.294 Å, c = 10.471 Å
α = 90.00°, β = 90.00°, γ = 105.79°
Fractional coordinates of all 18 atoms:
Dy  0.277  0.553  0.322
Nd  0.887  0.774  0.815
Dy  0.983  0.966  0.519
Nd  0.113  0.226  0.315
Dy  0.518  0.035  0.240
Dy  0.703  0.406  0.203
Sc  0.196  0.393  0.014
Dy  0.017  0.034  0.019
Pm  0.412  0.824  0.458
Dy  0.297  0.594  0.703
Nd  0.115  0.230  0.734
Nd  0.885  0.770  0.234
Dy  0.625  0.251  0.519
Sc  0.804  0.607  0.514
Pm  0.588  0.176  0.958
Dy  0.375  0.749  0.019
Dy  0.482  0.965  0.740
Dy  0.723  0.447  0.822

Output
Density ... 7.38 g/cm³
Symmetry ... No. 36
Total DFT energy (no corrections) ... -4.691 eV per atom
Spin magnetization ... 0.0 μB/cell
D(E_F) ... 24.9 states/eV/cell
Formation energy ... 0.16 eV/atom



Entry 9:
First-principles (GGA-PBE) data for a relaxed structure of Pm3Nd6Dy2Sc, as listed in the Alexandria database.

a = 6.284 Å, b = 6.284 Å, c = 11.909 Å
α = 95.04°, β = 95.04°, γ = 120.01°
Fractional coordinates of all 12 atoms:
Nd  0.081  0.411  0.244
Nd  0.919  0.589  0.756
Dy  0.333  0.667  0.000
Nd  0.249  0.249  0.755
Sc  0.000  0.000  0.000
Pm  0.500  0.500  0.500
Nd  0.751  0.751  0.245
Nd  0.411  0.081  0.244
Dy  0.667  0.333  0.000
Pm  0.167  0.833  0.500
Pm  0.833  0.167  0.500
Nd  0.589  0.919  0.756

Output
Density ... 6.92 g/cm³
Symmetry ... No. 12
Total DFT energy (no corrections) ... -4.840 eV per atom
Spin magnetization ... 0.0 μB/cell
D(E_F) ... 15.6 states/eV/cell
Formation energy ... 0.03 eV/atom



Entry 10:
First-principles (GGA-PBE) data for a relaxed structure of Pm5Nd2DySc, as listed in the Alexandria database.

a = 8.495 Å, b = 8.495 Å, c = 10.308 Å
α = 114.33°, β = 114.33°, γ = 90.00°
Fractional coordinates of all 18 atoms:
Pm  0.861  0.929  0.291
Nd  0.876  0.624  0.000
Nd  0.124  0.376  0.000
Pm  0.639  0.139  0.709
Dy  0.750  0.750  0.500
Pm  0.500  0.500  0.000
Dy  0.250  0.250  0.500
Pm  0.071  0.571  0.709
Sc  0.750  0.250  0.500
Sc  0.250  0.750  0.500
Nd  0.376  0.876  0.000
Pm  0.139  0.071  0.709
Pm  0.929  0.429  0.291
Nd  0.624  0.124  0.000
Pm  0.571  0.639  0.709
Pm  0.000  0.000  0.000
Pm  0.361  0.861  0.291
Pm  0.429  0.361  0.291

Output
Density ... 6.71 g/cm³
Symmetry ... No. 140
Total DFT energy (no corrections) ... -4.635 eV per atom
Spin magnetization ... 0.0 μB/cell
D(E_F) ... 26.5 states/eV/cell
Formation energy ... 0.28 eV/atom



Entry 11:
First-principles (GGA-PBE) data for a relaxed structure of PmNdDy5Sc2, as listed in the Alexandria database.

a = 5.611 Å, b = 11.118 Å, c = 9.376 Å
α = 90.00°, β = 90.00°, γ = 104.62°
Fractional coordinates of all 18 atoms:
Dy  0.692  0.385  0.221
Dy  0.391  0.782  0.043
Dy  0.735  0.469  0.834
Nd  0.597  0.193  0.915
Dy  0.468  0.937  0.748
Pm  0.812  0.625  0.521
Dy  0.265  0.531  0.334
Sc  0.113  0.226  0.326
Sc  0.887  0.774  0.826
Sc  0.857  0.714  0.194
Sc  0.143  0.286  0.694
Pm  0.188  0.375  0.021
Dy  0.993  0.986  0.522
Nd  0.403  0.807  0.415
Dy  0.532  0.063  0.248
Dy  0.308  0.615  0.721
Dy  0.609  0.218  0.543
Dy  0.007  0.014  0.022

Output
Density ... 6.99 g/cm³
Symmetry ... No. 36
Total DFT energy (no corrections) ... -4.851 eV per atom
Spin magnetization ... 0.0 μB/cell
D(E_F) ... 26.4 states/eV/cell
Formation energy ... 0.17 eV/atom



Entry 12:
First-principles (GGA-PBE) data for a relaxed structure of Pm2NdDy6Sc3, as listed in the Alexandria database.

a = 6.092 Å, b = 6.092 Å, c = 11.545 Å
α = 95.05°, β = 95.05°, γ = 120.00°
Fractional coordinates of all 12 atoms:
Dy  0.754  0.754  0.262
Pm  0.333  0.667  0.000
Nd  0.000  0.000  0.000
Pm  0.667  0.333  0.000
Sc  0.167  0.833  0.500
Dy  0.912  0.579  0.738
Dy  0.421  0.088  0.262
Sc  0.833  0.167  0.500
Dy  0.246  0.246  0.738
Sc  0.500  0.500  0.500
Dy  0.579  0.912  0.738
Dy  0.088  0.421  0.262

Output
Density ... 7.02 g/cm³
Symmetry ... No. 12
Total DFT energy (no corrections) ... -5.026 eV per atom
Spin magnetization ... 0.0 μB/cell
D(E_F) ... 17.5 states/eV/cell
Formation energy ... 0.05 eV/atom